[1]
The following is a DFT calculation (PBE-GGA) of crystalline AcPm7Pb4 at its relaxed geometry.

Calculated values
Formation energy from the elements ... -14.0 kJ/mol of atoms
Symmetry ... C2/m, No. 12

Cell: 7.599 7.599 11.484 Å, 120.92 120.92 47.35°
Element x y z (fractional)
Ac 0.000 0.000 0.000
Pm 0.048 0.048 0.372
Pm 0.213 0.213 0.890
Pm 0.326 0.326 0.411
Pm 0.500 0.500 0.000
Pm 0.674 0.674 0.589
Pm 0.787 0.787 0.110
Pm 0.952 0.952 0.628
Pb 0.294 0.294 0.673
Pb 0.425 0.425 0.228
Pb 0.575 0.575 0.772
Pb 0.706 0.706 0.327

[2]
The following is a DFT calculation (PBE-GGA) of crystalline Cr3C at its relaxed geometry.

Calculated values
Formation energy from the elements ... 75.4 kJ/mol of atoms
Symmetry ... Fm-3m, No. 225
Offset from the most stable computed form ... 875 meV/atom

Cell: 3.812 3.812 3.812 Å, 60.00 60.00 60.00°
Element x y z (fractional)
Cr 0.000 0.000 0.000
Cr 0.250 0.250 0.250
Cr 0.750 0.750 0.750
C 0.500 0.500 0.500

Table of magnetization (μB per formula unit), in record order: 0.683; 0.020
Table of raw total energy (eV per cell), in record order: -53.94; -34.97
Table of calculated density (Mg/m³), in record order: 8.52; 7.12